[1]
# ErScP, optimized geometry, DFT GGA-PBE
# - energy of formation (eV/atom) = -0.925
# - E_tot (eV per atom) = -6.36
data_ErScP
_cell_length_a 3.7642
_cell_length_b 3.7642
_cell_length_c 6.0240
_cell_angle_alpha 90.00
_cell_angle_beta 90.00
_cell_angle_gamma 120.00
_space_group_name_H-M_alt 'P 3 m 1'
_space_group_IT_number 156
loop_
_space_group_symop_operation_xyz
'x,y,z'
'-y,x-y,z'
'-x+y,-x,z'
'-y,-x,z'
'-x+y,y,z'
'x,x-y,z'
loop_
_atom_site_label
_atom_site_type_symbol
_atom_site_fract_x
_atom_site_fract_y
_atom_site_fract_z
Er1 Er 0.0000 0.0000 0.0000
Sc1 Sc 0.3333 0.6667 0.5047
P1 P 0.6667 0.3333 0.2725



[2]
# LaCoCl2, optimized geometry, DFT GGA-PBE
# - E_tot (eV per atom) = -4.58
# - energy above the lowest structure with this stoichiometry (kJ/mol of atoms) = 45.2
data_LaCoCl2
_cell_length_a 7.002
_cell_length_b 7.002
_cell_length_c 7.002
_cell_angle_alpha 90.00
_cell_angle_beta 90.00
_cell_angle_gamma 90.00
_space_group_name_H-M_alt 'F m -3 m'
_space_group_IT_number 225
_space_group_name_Hall '-F 4 2 3'
loop_
_atom_site_label
_atom_site_type_symbol
_atom_site_fract_x
_atom_site_fract_y
_atom_site_fract_z
La1 La 0.000 0.000 0.000
Co1 Co 0.000 0.000 0.500
Cl1 Cl 0.250 0.250 0.250



[3]
# DyPaInAu, optimized geometry, DFT GGA-PBE
# - energy of formation (eV/atom) = -0.199
# - E_tot (eV per atom) = -5.23
data_DyPaInAu
_cell_length_a 7.401
_cell_length_b 7.401
_cell_length_c 7.401
_cell_angle_alpha 90.00
_cell_angle_beta 90.00
_cell_angle_gamma 90.00
_space_group_name_H-M_alt 'F -4 3 m'
_space_group_IT_number 216
_space_group_name_Hall 'F -4 2 3'
loop_
_atom_site_label
_atom_site_type_symbol
_atom_site_fract_x
_atom_site_fract_y
_atom_site_fract_z
Dy1 Dy 0.000 0.000 0.000
Pa1 Pa 0.000 0.000 0.500
In1 In 0.250 0.250 0.250
Au1 Au 0.250 0.250 0.750



[4]
# Pm2PrHo4, optimized geometry, DFT GGA-PBE
# - energy of formation (eV/atom) = 0.018
# - E_tot (eV per atom) = -4.64
# - energy above the lowest structure with this stoichiometry (kJ/mol of atoms) = 0.0
data_Pm2PrHo4
_cell_length_a 6.283
_cell_length_b 3.630
_cell_length_c 20.317
_cell_angle_alpha 90.00
_cell_angle_beta 95.95
_cell_angle_gamma 90.00
_space_group_name_H-M_alt 'C 1 m 1'
_space_group_IT_number 8
loop_
_space_group_symop_operation_xyz
'x,y,z'
'x,-y,z'
'x+1/2,y+1/2,z'
'x+1/2,-y+1/2,z'
loop_
_atom_site_label
_atom_site_type_symbol
_atom_site_fract_x
_atom_site_fract_y
_atom_site_fract_z
Pm1 Pm 0.000 0.000 0.000
Pm2 Pm 0.093 0.000 0.286
Pr1 Pr 0.190 0.000 0.573
Ho1 Ho 0.286 0.000 0.857
Ho2 Ho 0.307 0.500 0.427
Ho3 Ho 0.380 0.000 0.143
Ho4 Ho 0.406 0.500 0.719



[5]
# LaZn9Ga3, optimized geometry, DFT GGA-PBE
# - energy of formation (eV/atom) = -0.157
# - E_tot (eV per atom) = -2.12
data_LaZn9Ga3
_cell_length_a 5.685
_cell_length_b 12.447
_cell_length_c 6.906
_cell_angle_alpha 90.00
_cell_angle_beta 113.56
_cell_angle_gamma 90.00
_space_group_name_H-M_alt 'C 1 2/m 1'
_space_group_IT_number 12
loop_
_space_group_symop_operation_xyz
'x,y,z'
'-x,-y,-z'
'-x,y,-z'
'x,-y,z'
'x+1/2,y+1/2,z'
'-x+1/2,-y+1/2,-z'
'-x+1/2,y+1/2,-z'
'x+1/2,-y+1/2,z'
loop_
_atom_site_label
_atom_site_type_symbol
_atom_site_fract_x
_atom_site_fract_y
_atom_site_fract_z
La1 La 0.000 0.000 0.000
Zn1 Zn 0.000 0.500 0.500
Zn2 Zn 0.106 0.391 0.220
Zn3 Zn 0.197 0.179 0.360
Ga1 Ga 0.000 0.000 0.500
Ga2 Ga 0.250 0.250 0.000



[6]
# K4U3Te8Pt, optimized geometry, DFT GGA-PBE
# - E_tot (eV per atom) = -5.08
data_K4U3Te8Pt
_cell_length_a 15.844
_cell_length_b 8.677
_cell_length_c 9.753
_cell_angle_alpha 90.00
_cell_angle_beta 121.22
_cell_angle_gamma 90.00
_space_group_name_H-M_alt 'C 1 2/m 1'
_space_group_IT_number 12
loop_
_space_group_symop_operation_xyz
'x,y,z'
'-x,-y,-z'
'-x,y,-z'
'x,-y,z'
'x+1/2,y+1/2,z'
'-x+1/2,-y+1/2,-z'
'-x+1/2,y+1/2,-z'
'x+1/2,-y+1/2,z'
loop_
_atom_site_label
_atom_site_type_symbol
_atom_site_fract_x
_atom_site_fract_y
_atom_site_fract_z
K1 K 0.000 0.000 0.000
K2 K 0.000 0.500 0.000
K3 K 0.250 0.250 0.000
U1 U 0.000 0.000 0.500
U2 U 0.250 0.250 0.500
Te1 Te 0.016 0.280 0.314
Te2 Te 0.233 0.000 0.713
Te3 Te 0.238 0.000 0.271
Pt1 Pt 0.000 0.500 0.500



[7]
# NaHg, optimized geometry, DFT GGA-PBE
# - energy of formation (eV/atom) = -0.179
# - E_tot (eV per atom) = -0.99
data_NaHg
_cell_length_a 9.3075
_cell_length_b 9.3075
_cell_length_c 5.0552
_cell_angle_alpha 90.00
_cell_angle_beta 90.00
_cell_angle_gamma 120.00
_space_group_name_H-M_alt 'P 63/m m c'
_space_group_IT_number 194
_space_group_name_Hall '-P 6c 2c'
loop_
_atom_site_label
_atom_site_type_symbol
_atom_site_fract_x
_atom_site_fract_y
_atom_site_fract_z
Na1 Na 0.1889 0.3777 0.2500
Hg1 Hg 0.1105 0.5553 0.7500



[8]
# CuPdSe, optimized geometry, DFT GGA-PBE
# - E_tot (eV per atom) = -4.28
# - energy above the lowest structure with this stoichiometry (kJ/mol of atoms) = 11.6
data_CuPdSe
_cell_length_a 4.3936
_cell_length_b 4.3936
_cell_length_c 9.5024
_cell_angle_alpha 90.00
_cell_angle_beta 90.00
_cell_angle_gamma 120.00
_space_group_name_H-M_alt 'R 3 m'
_space_group_IT_number 160
_space_group_name_Hall 'R 3 -2"'
loop_
_atom_site_label
_atom_site_type_symbol
_atom_site_fract_x
_atom_site_fract_y
_atom_site_fract_z
Cu1 Cu 0.0000 0.0000 0.0000
Pd1 Pd 0.0000 0.0000 0.7157
Se1 Se 0.0000 0.0000 0.4474



[9]
# SrHfZn2, optimized geometry, DFT GGA-PBE
# - energy of formation (eV/atom) = 0.396
# - E_tot (eV per atom) = -3.15
# - energy above the lowest structure with this stoichiometry (kJ/mol of atoms) = 46.7
data_SrHfZn2
_cell_length_a 7.776
_cell_length_b 7.776
_cell_length_c 7.098
_cell_angle_alpha 90.00
_cell_angle_beta 90.00
_cell_angle_gamma 90.00
_space_group_name_H-M_alt 'I -4 2 d'
_space_group_IT_number 122
_space_group_name_Hall 'I -4 2bw'
loop_
_atom_site_label
_atom_site_type_symbol
_atom_site_fract_x
_atom_site_fract_y
_atom_site_fract_z
Sr1 Sr 0.000 0.000 0.000
Hf1 Hf 0.000 0.000 0.500
Zn1 Zn 0.205 0.250 0.625



[10]
# Sm4Bi3Sb, optimized geometry, DFT GGA-PBE
# - E_tot (eV per atom) = -5.32
data_Sm4Bi3Sb
_cell_length_a 6.411
_cell_length_b 6.411
_cell_length_c 6.411
_cell_angle_alpha 90.00
_cell_angle_beta 90.00
_cell_angle_gamma 90.00
_space_group_name_H-M_alt 'P m -3 m'
_space_group_IT_number 221
_space_group_name_Hall '-P 4 2 3'
loop_
_atom_site_label
_atom_site_type_symbol
_atom_site_fract_x
_atom_site_fract_y
_atom_site_fract_z
Sm1 Sm 0.000 0.000 0.000
Sm2 Sm 0.000 0.500 0.500
Bi1 Bi 0.000 0.000 0.500
Sb1 Sb 0.500 0.500 0.500



[11]
# Bi12Pd6Au, optimized geometry, DFT GGA-PBE
# - energy of formation (eV/atom) = -0.185
# - E_tot (eV per atom) = -4.45
data_Bi12Pd6Au
_cell_length_a 12.7966
_cell_length_b 12.7966
_cell_length_c 11.3412
_cell_angle_alpha 90.00
_cell_angle_beta 90.00
_cell_angle_gamma 120.00
_space_group_name_H-M_alt 'R -3'
_space_group_IT_number 148
_space_group_name_Hall '-R 3'
loop_
_atom_site_label
_atom_site_type_symbol
_atom_site_fract_x
_atom_site_fract_y
_atom_site_fract_z
Bi1 Bi 0.0397 0.8195 0.3988
Bi2 Bi 0.0452 0.8150 0.9011
Pd1 Pd 0.0479 0.7931 0.6542
Au1 Au 0.0000 0.0000 0.0000



[12]
# ZrReNi3, optimized geometry, DFT GGA-PBE
# - energy of formation (eV/atom) = 1.689
# - E_tot (eV per atom) = -5.98
# - energy above the lowest structure with this stoichiometry (kJ/mol of atoms) = 79.9
data_ZrReNi3
_cell_length_a 4.398
_cell_length_b 4.398
_cell_length_c 4.398
_cell_angle_alpha 90.00
_cell_angle_beta 90.00
_cell_angle_gamma 90.00
_space_group_name_H-M_alt 'P m -3 m'
_space_group_IT_number 221
_space_group_name_Hall '-P 4 2 3'
loop_
_atom_site_label
_atom_site_type_symbol
_atom_site_fract_x
_atom_site_fract_y
_atom_site_fract_z
Zr1 Zr 0.000 0.000 0.000
Re1 Re 0.500 0.500 0.500
Ni1 Ni 0.000 0.000 0.500